Computed, not measured: a relaxed RbSBrN2 crystal at the PBE level of DFT.

excess energy over the best structure of this formula in the dataset: 0.00 eV/f.u.
energy: -3.04 eV/atom
E_form (uncorrected): 8.2 eV per formula unit

Cell lengths 4.5586, 4.5586, 5.2626 Å; angles 90.00, 90.00, 90.00 degrees
Space group P4/mmm (No. 123)
Inequivalent atoms, fractional coordinates:
Rb: 0.0000 0.0000 0.0000 [1 per cell]
S: 0.5000 0.5000 0.0000 [1 per cell]
Br: 0.5000 0.5000 0.5000 [1 per cell]
N: 0.0000 0.5000 0.5000 [2 per cell]

***

Computed, not measured: a relaxed Rb3TeF crystal at the PBE level of DFT.

excess energy over the best structure of this formula in the dataset: 0.34 eV/f.u.
energy: -3.20 eV/atom
E_form (uncorrected): -8.1 eV per formula unit

Cell lengths 6.8114, 7.7861, 7.3745 Å; angles 90.00, 104.98, 90.00 degrees
Space group P2_1/m (No. 11)
Inequivalent atoms, fractional coordinates:
Rb: 0.1042 0.2500 0.1746 [2 per cell]
Rb: 0.3629 0.0212 0.7431 [4 per cell]
Te: 0.1609 0.7500 0.3248 [2 per cell]
F: 0.4435 0.2500 0.0559 [2 per cell]

***

Computed, not measured: a relaxed NiB4 crystal at the PBE level of DFT.

ΔE_f: 0.0075 eV per atom
energy: -6.49 eV/atom

Cell lengths 5.8001, 2.8121, 4.7053 Å; angles 90.00, 98.43, 90.00 degrees
Space group Cm (No. 8)
Inequivalent atoms, fractional coordinates:
Ni: 0.0000 0.0000 0.0000 [2 per cell]
B: 0.1816 0.5000 0.6570 [2 per cell]
B: 0.1921 0.0000 0.3899 [2 per cell]
B: 0.3808 0.0000 0.6857 [2 per cell]
B: 0.4912 0.0000 0.3354 [2 per cell]

***

Computed, not measured: a relaxed KYRe2 crystal at the PBE level of DFT.

excess energy over the best structure of this formula in the dataset: 4.02 eV/f.u.
ΔE_f: 1.5256 eV per atom
energy: -6.59 eV/atom

Cell lengths 4.6573, 4.6573, 20.6227 Å; angles 90.00, 90.00, 90.00 degrees
Space group I-42d (No. 122)
Inequivalent atoms, fractional coordinates:
K: 0.0000 0.0000 0.0000 [4 per cell]
Y: 0.0000 0.0000 0.5000 [4 per cell]
Re: 0.0817 0.7500 0.6250 [8 per cell]

***

Computed, not measured: a relaxed BeInP2 crystal at the PBE level of DFT.

ΔE_f: 0.4489 eV per atom
energy: -3.87 eV/atom

Cell lengths 3.6753, 3.3908, 5.3695 Å; angles 90.00, 91.12, 90.00 degrees
Space group P2/m (No. 10)
Inequivalent atoms, fractional coordinates:
Be: 0.0000 0.0000 0.0000 [1 per cell]
In: 0.5000 0.5000 0.0000 [1 per cell]
P: 0.0000 0.0000 0.5000 [1 per cell]
P: 0.5000 0.5000 0.5000 [1 per cell]

***

Computed, not measured: a relaxed LiSb3 crystal at the PBE level of DFT.

excess energy over the best structure of this formula in the dataset: 0.77 eV/f.u.
energy: -3.51 eV/atom
E_form (uncorrected): 0.2 eV per formula unit

Cell lengths 5.9186, 5.9186, 5.9186 Å; angles 90.00, 90.00, 90.00 degrees
Space group Pm-3n (No. 223)
Inequivalent atoms, fractional coordinates:
Li: 0.0000 0.0000 0.0000 [2 per cell]
Sb: 0.0000 0.2500 0.5000 [6 per cell]

***

Computed, not measured: a relaxed TaCoB2 crystal at the PBE level of DFT.

ΔE_f: -0.6356 eV per atom
energy: -8.71 eV/atom

Cell lengths 5.9651, 3.1387, 8.1793 Å; angles 90.00, 90.00, 90.00 degrees
Space group Pnma (No. 62)
Inequivalent atoms, fractional coordinates:
Ta: 0.1362 0.2500 0.1327 [4 per cell]
Co: 0.0065 0.7500 0.3855 [4 per cell]
B: 0.1653 0.2500 0.8304 [4 per cell]
B: 0.2343 0.2500 0.4242 [4 per cell]

***

Computed, not measured: a relaxed InMoP2 crystal at the PBE level of DFT.

ΔE_f: 0.3571 eV per atom
energy: -5.74 eV/atom

Cell lengths 3.3894, 5.0934, 7.9497 Å; angles 90.00, 90.00, 90.00 degrees
Space group Immm (No. 71)
Inequivalent atoms, fractional coordinates:
In: 0.0000 0.0000 0.0000 [2 per cell]
Mo: 0.0000 0.0000 0.5000 [2 per cell]
P: 0.0000 0.5000 0.2316 [4 per cell]

***

Computed, not measured: a relaxed KSn6Au12 crystal at the PBE level of DFT.

excess energy over the best structure of this formula in the dataset: 0.60 eV/f.u.
ΔE_f: -0.0831 eV per atom
energy: -3.47 eV/atom

Cell lengths 12.6078, 12.6078, 9.5817 Å; angles 90.00, 90.00, 120.00 degrees
Space group R-3m (No. 166, hexagonal axes)
Inequivalent atoms, fractional coordinates:
K: 0.0000 0.0000 0.0000 [3 per cell]
Sn: 0.0500 0.5250 0.2396 [18 per cell]
Au: 0.0000 0.3897 0.5000 [18 per cell]
Au: 0.0778 0.1555 0.3007 [18 per cell]

***

Computed, not measured: a relaxed BeTlCu crystal at the PBE level of DFT.

excess energy over the best structure of this formula in the dataset: 0.00 eV/f.u.
ΔE_f: 0.4055 eV per atom
energy: -2.99 eV/atom

Cell lengths 3.0697, 3.0697, 10.8930 Å; angles 90.00, 90.00, 90.00 degrees
Space group I4mm (No. 107)
Inequivalent atoms, fractional coordinates:
Be: 0.0000 0.0000 0.0000 [2 per cell]
Tl: 0.0000 0.0000 0.2772 [2 per cell]
Cu: 0.0000 0.0000 0.5585 [2 per cell]

***

Computed, not measured: a relaxed YSbIrO6 crystal at the PBE level of DFT.

energy: -7.09 eV/atom
E_form (uncorrected): -14.6 eV per formula unit

Cell lengths 5.3082, 5.3082, 9.0779 Å; angles 90.00, 90.00, 120.00 degrees
Space group P-31c (No. 163)
Inequivalent atoms, fractional coordinates:
Y: 0.3333 0.6667 0.2500 [2 per cell]
Sb: 0.0000 0.0000 0.0000 [2 per cell]
Ir: 0.3333 0.6667 0.7500 [2 per cell]
O: 0.0300 0.3414 0.6204 [12 per cell]

***

Computed, not measured: a relaxed HfSc3Rh4 crystal at the PBE level of DFT.

ΔE_f: -1.0006 eV per atom
energy: -8.29 eV/atom

Cell lengths 4.5866, 4.5866, 22.4395 Å; angles 90.00, 90.00, 120.00 degrees
Space group R-3m (No. 166, hexagonal axes)
Inequivalent atoms, fractional coordinates:
Hf: 0.0000 0.0000 0.0000 [3 per cell]
Sc: 0.0000 0.0000 0.2485 [6 per cell]
Sc: 0.0000 0.0000 0.5000 [3 per cell]
Rh: 0.0000 0.0000 0.1234 [6 per cell]
Rh: 0.0000 0.0000 0.3733 [6 per cell]

***

Which formula does entry 11 have? YSbIrO6